Below is Sm5HoIn2 after structural relaxation, with properties calculated at the PBE level.

Computed properties:
Polymorph energy (0 for the lowest one) (meV/atom): 114
E_tot (eV/f.u.): -34.91

abc: 5.244 12.045 15.930
angles: 90.00 90.00 90.00
Space group Cmcm (No. 63)
One atom of each set of equivalent atoms:
Sm 0.000 0.036 0.250 (multiplicity 4)
Sm 0.000 0.144 0.529 (multiplicity 8)
Sm 0.000 0.462 0.605 (multiplicity 8)
Ho 0.000 0.246 0.750 (multiplicity 4)
In 0.000 0.275 0.147 (multiplicity 8)